one:
VASP calculation (PBE) on crystalline AlInAu4 at its relaxed geometry.

Cell and atoms, written as POSCAR:
```
AlInAu4
1.0
-0.307 4.350 2.288
1.179 -2.340 4.607
7.823 0.541 -5.279
Au In Al
8 2 2
Direct
0.575 0.528 0.654
0.336 0.863 0.177
0.921 0.972 0.346
0.079 0.028 0.654
0.425 0.472 0.346
0.160 0.637 0.823
0.840 0.363 0.177
0.664 0.137 0.823
0.252 0.250 0.000
0.748 0.750 0.000
0.500 0.000 0.500
0.000 0.500 0.500
```

Results
Space group: C2/c (15)

two:
VASP calculation (PBE) on crystalline AlInAu4 at its relaxed geometry.

Cell and atoms, written as POSCAR:
```
AlInAu4
1.0
-3.207 4.385 1.153
0.522 4.676 -2.952
-4.008 1.515 -3.534
Au Al In
4 1 1
Direct
0.375 0.375 0.375
0.375 0.876 0.375
0.876 0.375 0.375
0.375 0.375 0.876
0.000 0.000 0.000
0.750 0.750 0.750
```

Results
Space group: F-43m (216)

Energy ordering: one at the bottom, the next structure 22.2 kJ/mol of atoms above.

one:
VASP calculation (PBE) on crystalline AlIn2Au8 at its relaxed geometry.

Cell and atoms, written as POSCAR:
```
AlIn2Au8
1.0
4.053 0.002 -0.948
-0.203 5.375 -0.870
0.117 1.923 9.691
Au Al In
8 1 2
Direct
0.965 0.754 0.929
0.632 0.073 0.268
0.770 0.814 0.537
0.035 0.246 0.071
0.368 0.927 0.732
0.575 0.582 0.149
0.425 0.418 0.851
0.230 0.186 0.463
0.500 0.000 0.000
0.174 0.660 0.347
0.826 0.340 0.653
```

Results
Space group: P-1 (2)

two:
VASP calculation (PBE) on crystalline AlIn2Au8 at its relaxed geometry.

Cell and atoms, written as POSCAR:
```
AlIn2Au8
1.0
-4.526 0.584 0.035
-0.827 -6.506 1.570
2.930 4.531 5.836
In Au Al
2 8 1
Direct
0.823 0.323 0.646
0.177 0.677 0.354
0.365 0.602 0.730
0.365 0.129 0.730
0.184 0.184 0.368
0.635 0.398 0.270
0.000 0.760 0.000
0.816 0.816 0.632
0.000 0.240 0.000
0.635 0.871 0.270
0.500 0.000 0.000
```

Results
Space group: Immm (71)

Energy ordering: two at the bottom, the next structure 1.9 kJ/mol of atoms above.

one:
VASP calculation (PBE) on crystalline Al2IrAu2 at its relaxed geometry.

Cell and atoms, written as POSCAR:
```
Al2IrAu2
1.0
6.821 0.000 0.000
0.000 6.821 0.000
0.000 0.000 3.498
Au Ir Al
4 2 4
Direct
0.648 0.852 0.500
0.852 0.352 0.500
0.352 0.148 0.500
0.148 0.648 0.500
0.500 0.500 0.000
0.000 0.000 0.000
0.152 0.348 0.000
0.848 0.652 0.000
0.348 0.848 0.000
0.652 0.152 0.000
```

Results
Space group: P4/mbm (127)

two:
VASP calculation (PBE) on crystalline Al2IrAu2 at its relaxed geometry.

Cell and atoms, written as POSCAR:
```
Al2IrAu2
1.0
-1.927 1.927 5.812
1.927 -1.927 5.812
1.927 1.927 -5.812
Ir Al Au
1 2 2
Direct
0.000 0.000 0.000
0.750 0.250 0.500
0.250 0.750 0.500
0.388 0.388 0.000
0.612 0.612 0.000
```

Results
Space group: I4/mmm (139)

Energy ordering: one at the bottom, the next structure 35.3 kJ/mol of atoms above.

one:
VASP calculation (PBE) on crystalline KAl6Au12 at its relaxed geometry.

Cell and atoms, written as POSCAR:
```
KAl6Au12
1.0
-1.522 -6.915 0.548
7.425 1.018 2.795
0.526 -1.933 7.744
Au Al K
12 6 1
Direct
0.125 0.393 0.049
0.875 0.607 0.951
0.826 0.951 0.442
0.808 0.334 0.789
0.403 0.211 0.123
0.192 0.666 0.211
0.174 0.049 0.558
0.732 0.558 0.393
0.526 0.123 0.666
0.474 0.877 0.334
0.597 0.789 0.877
0.268 0.442 0.607
0.695 0.236 0.272
0.305 0.764 0.728
0.541 0.508 0.764
0.459 0.492 0.236
0.967 0.272 0.492
0.033 0.728 0.508
0.000 0.000 0.000
```

Results
Space group: R-3 (148)

two:
VASP calculation (PBE) on crystalline KAl6Au12 at its relaxed geometry.

Cell and atoms, written as POSCAR:
```
KAl6Au12
1.0
7.507 -0.056 -0.078
-1.915 7.259 -0.078
-1.915 -2.466 6.827
Au Al K
12 6 1
Direct
0.882 0.118 0.500
0.606 0.860 0.606
0.118 0.882 0.500
0.500 0.882 0.118
0.500 0.118 0.882
0.118 0.500 0.882
0.882 0.500 0.118
0.140 0.394 0.394
0.860 0.606 0.606
0.394 0.394 0.140
0.606 0.606 0.860
0.394 0.140 0.394
0.693 0.278 0.278
0.278 0.278 0.693
0.278 0.693 0.278
0.722 0.722 0.307
0.722 0.307 0.722
0.307 0.722 0.722
0.000 0.000 0.000
```

Results
Space group: R-3m (166)

Energy ordering: two at the bottom, the next structure 5.6 kJ/mol of atoms above.

one:
VASP calculation (PBE) on crystalline KAlAu2 at its relaxed geometry.

Cell and atoms, written as POSCAR:
```
KAlAu2
1.0
-1.638 0.493 2.786
1.488 -2.588 1.333
6.023 4.845 2.684
Au Al K
2 1 1
Direct
0.000 0.000 0.571
0.000 0.000 0.929
0.500 0.500 0.750
0.500 0.500 0.250
```

Results
Space group: P4/mmm (123)

two:
VASP calculation (PBE) on crystalline KAlAu2 at its relaxed geometry.

Cell and atoms, written as POSCAR:
```
KAlAu2
1.0
5.006 0.000 0.000
2.503 4.335 0.000
2.503 1.445 4.087
Au K Al
2 1 1
Direct
0.250 0.250 0.250
0.000 0.000 0.000
0.750 0.750 0.750
0.500 0.500 0.500
```

Results
Space group: F-43m (216)

Energy ordering: one at the bottom, the next structure 36.6 kJ/mol of atoms above.

one:
VASP calculation (PBE) on crystalline KAlAu2 at its relaxed geometry.

Cell and atoms, written as POSCAR:
```
KAlAu2
1.0
-3.835 0.567 -5.317
0.508 -0.138 -6.559
-2.046 -3.634 -5.090
Al K Au
1 1 2
Direct
0.750 0.750 0.750
0.250 0.250 0.250
0.441 0.441 0.441
0.059 0.059 0.059
```

Results
Space group: R-3m (166)

two:
VASP calculation (PBE) on crystalline KAlAu2 at its relaxed geometry.

Cell and atoms, written as POSCAR:
```
KAlAu2
1.0
-1.077 -3.771 -3.809
4.827 1.007 -2.361
5.483 -7.310 1.763
K Au Al
2 4 2
Direct
0.000 0.000 0.000
0.750 0.250 0.500
0.375 0.625 0.750
0.875 0.625 0.750
0.375 0.625 0.250
0.375 0.125 0.250
0.250 0.750 0.500
0.500 0.500 0.000
```

Results
Space group: I4_1/amd (141)

three:
VASP calculation (PBE) on crystalline KAlAu2 at its relaxed geometry.

Cell and atoms, written as POSCAR:
```
KAlAu2
1.0
5.504 -0.038 0.000
2.008 5.124 0.000
-3.756 -2.543 3.117
Al K Au
1 1 2
Direct
0.750 0.250 0.500
0.500 0.500 0.000
0.250 0.750 0.500
0.000 0.000 0.000
```

Results
Space group: I-4m2 (119)

four:
VASP calculation (PBE) on crystalline KAlAu2 at its relaxed geometry.

Cell and atoms, written as POSCAR:
```
KAlAu2
1.0
4.503 -0.021 0.049
2.279 3.884 0.049
2.088 1.189 6.330
Au K Al
2 1 1
Direct
0.027 0.027 0.920
0.307 0.307 0.087
0.488 0.488 0.522
0.677 0.677 0.972
```

Results
Space group: Cm (8)

Energy ordering: one at the bottom, the next structure 3.9 kJ/mol of atoms above.